Below is an optimized crystal structure of FeH2Ru, with properties calculated at the PBE level.

Cell: 2.8981 2.8981 5.0139 Å, 73.20 73.20 60.00°
Fractional coordinates of all 4 atoms:
Fe 0.0000 0.0000 0.0000
Ru 0.5000 0.5000 0.5000
H 0.1188 0.1188 0.6435
H 0.8812 0.8812 0.3565

* total magnetization: 0.84 μB per atom
* ΔE to the lowest computed polymorph: 0.66 eV/f.u.

=====

Below is an optimized crystal structure of FeH2Ru, with properties calculated at the PBE level.

Cell: 4.0236 4.0236 4.9393 Å, 65.96 65.96 90.00°
Fractional coordinates of all 8 atoms:
Ru 0.0000 0.0000 0.0000
Ru 0.7500 0.2500 0.5000
H 0.3750 0.3893 0.7500
H 0.1393 0.6250 0.2500
H 0.8750 0.8607 0.7500
H 0.6107 0.1250 0.2500
Fe 0.5000 0.5000 0.0000
Fe 0.2500 0.7500 0.5000

* total magnetization: 0.74 μB per atom
* ΔE to the lowest computed polymorph: 0.41 eV/f.u.

=====

Below is an optimized crystal structure of FeH3Ru, with properties calculated at the PBE level.

Cell: 3.4000 3.4000 3.4000 Å, 90.00 90.00 90.00°
Fractional coordinates of all 5 atoms:
Fe 0.5000 0.5000 0.5000
H 0.0000 0.5000 0.0000
H 0.5000 0.0000 0.0000
H 0.0000 0.0000 0.5000
Ru 0.0000 0.0000 0.0000

* total magnetization: 0.69 μB per atom
* ΔE to the lowest computed polymorph: 0.00 eV/f.u.

=====

Below is an optimized crystal structure of FeH2Ru, with properties calculated at the PBE level.

Cell: 2.7508 2.7508 5.0001 Å, 74.03 74.03 60.00°
Fractional coordinates of all 4 atoms:
H 0.2528 0.2528 0.2417
H 0.0834 0.0834 0.7497
Ru 0.6707 0.6707 0.9878
Fe 0.4931 0.4931 0.5208

* total magnetization: 0.55 μB per atom
* ΔE to the lowest computed polymorph: 0.59 eV/f.u.

=====

Below is an optimized crystal structure of FeH2Ru, with properties calculated at the PBE level.

Cell: 4.4519 4.7699 5.5577 Å, 90.00 90.00 90.00°
Fractional coordinates of all 16 atoms:
H 0.9999 0.2501 0.8919
H 0.0001 0.7499 0.1081
H 0.5001 0.7501 0.1081
H 0.4996 0.7501 0.6534
H 0.5004 0.2499 0.3466
H 0.4999 0.2499 0.8919
H 0.0004 0.2501 0.3466
H 0.9996 0.7499 0.6534
Fe 0.7499 0.5819 0.8795
Fe 0.2499 0.9181 0.8795
Fe 0.7501 0.0819 0.1205
Fe 0.2501 0.4181 0.1205
Ru 0.7500 0.0829 0.6280
Ru 0.2500 0.9171 0.3720
Ru 0.7500 0.5829 0.3720
Ru 0.2500 0.4171 0.6280

* total magnetization: 0.58 μB per atom
* ΔE to the lowest computed polymorph: 0.00 eV/f.u.

=====

Below is an optimized crystal structure of FeHRu2, with properties calculated at the PBE level.

Cell: 5.8741 5.8741 4.8590 Å, 52.81 52.81 90.00°
Fractional coordinates of all 8 atoms:
H 0.2500 0.7500 0.5000
H 0.5000 0.5000 0.0000
Ru 0.5372 0.1250 0.2500
Ru 0.3750 0.4628 0.7500
Ru 0.2128 0.6250 0.2500
Ru 0.8750 0.7872 0.7500
Fe 0.7500 0.2500 0.5000
Fe 0.0000 0.0000 0.0000

* total magnetization: 0.63 μB per atom
* ΔE to the lowest computed polymorph: 0.00 eV/f.u.